Compound: Cu2SnTeAs
Source: the Alexandria database
Functional: GGA-PBE
Structure: optimized geometry

Lattice parameters (Å, degrees): 7.3037 4.0207 7.8950 90.00 104.36 90.00
Element x y z (fractional)
Cu  0.0029  0.2500  0.1437
Cu  0.0150  0.7500  0.3876
Cu  0.9850  0.2500  0.6124
Cu  0.9971  0.7500  0.8563
Sn  0.4052  0.7500  0.6786
Sn  0.5948  0.2500  0.3214
Te  0.2342  0.2500  0.9331
Te  0.7658  0.7500  0.0669
As  0.2294  0.2500  0.4267
As  0.7706  0.7500  0.5733

Calculated values
The value obtained for the density is 6.6 g/cm³. For the total energy, the calculation gives -40.106 eV per cell. As for the formation energy (no corrections): -0.0134 eV per atom.